1.
## YTiTe2 (PBE-GGA)

Data for a relaxed YTiTe2 crystal.

```
8
Lattice="-2.827 -2.929 -5.003 1.928 -5.724 2.263 -6.348 -4.870 2.281" Properties=species:S:1:pos:R:3 pbc="T T T"
Y 0.000 0.000 0.000
Y -4.813 -6.063 -2.046
Te -3.023 -3.671 -2.114
Te -0.826 -5.255 1.200
Te -5.037 -7.080 0.755
Te -5.610 -11.042 -0.759
Ti -0.450 -4.327 -1.370
Ti -2.435 -7.461 1.587
```

Results
ΔE_f (raw) (eV/atom): -0.5255
Polymorph energy (0 for the lowest one) (meV per atom): 218



2.
## Li2AcGd (PBE-GGA)

Data for a relaxed Li2AcGd crystal.

```
4
Lattice="3.643 0.000 0.000 1.822 3.155 0.000 1.822 1.052 10.976" Properties=species:S:1:pos:R:3 pbc="T T T"
Ac 0.000 0.000 0.000
Gd 3.643 2.103 5.488
Li 5.465 3.155 8.115
Li 1.822 1.052 2.861
```

Results
Energy relative to the elements (eV per atom): 0.202
Polymorph energy (0 for the lowest one) (meV per atom): 76



3.
## Tb2NdSm (PBE-GGA)

Data for a relaxed Tb2NdSm crystal.

```
4
Lattice="-1.205 1.896 4.563 -0.906 -4.721 1.722 4.878 -0.405 1.456" Properties=species:S:1:pos:R:3 pbc="T T T"
Nd -0.602 0.948 2.282
Tb 2.439 -0.202 0.728
Tb -0.453 -2.361 0.861
Sm 1.384 -1.615 3.871
```

Results
Energy relative to the elements (eV per atom): 0.018
Polymorph energy (0 for the lowest one) (meV per atom): 6



4.
## Tl2AgRu (PBE-GGA)

Data for a relaxed Tl2AgRu crystal.

```
4
Lattice="6.785 0.002 -0.004 4.550 5.034 0.004 -5.266 -3.423 2.568" Properties=species:S:1:pos:R:3 pbc="T T T"
Ag 4.978 2.211 0.000
Ru 2.412 2.036 1.286
Tl 0.597 0.265 0.000
Tl 3.750 -0.382 1.282
```

Results
Energy relative to the elements (eV per atom): 0.383
Polymorph energy (0 for the lowest one) (meV per atom): 0



5.
## MgBeSb2 (PBE-GGA)

Data for a relaxed MgBeSb2 crystal.

```
4
Lattice="-4.508 1.279 2.129 -2.708 -4.256 -1.025 4.591 0.171 2.321" Properties=species:S:1:pos:R:3 pbc="T T T"
Sb 0.000 0.000 0.000
Sb -3.608 -1.488 0.552
Mg -1.762 -0.019 2.501
Be -0.862 -2.786 0.924
```

Results
ΔE_f (raw) (eV/atom): 0.3490
Polymorph energy (0 for the lowest one) (meV per atom): 264



6.
## EuH2Rh (PBE-GGA)

Data for a relaxed EuH2Rh crystal.

```
4
Lattice="-0.692 -1.980 -2.040 1.481 -2.043 1.481 -4.550 -1.280 2.785" Properties=species:S:1:pos:R:3 pbc="T T T"
Eu -1.881 -2.651 1.113
H -3.767 -1.059 2.305
H -0.783 -0.220 0.479
Rh 0.395 -2.011 -0.280
```

Results
Polymorph energy (0 for the lowest one) (meV per atom): 473



7.
## Rb2FeCuC6N6 (PBE-GGA)

Data for a relaxed Rb2FeCuC6N6 crystal.

```
16
Lattice="-5.424 -4.737 -1.136 -2.150 -4.436 5.371 -6.467 1.026 3.206" Properties=species:S:1:pos:R:3 pbc="T T T"
Rb -10.531 -6.110 5.581
Rb -3.510 -2.037 1.860
Fe 0.000 0.000 0.000
Cu -7.020 -4.074 3.721
C -6.005 -4.495 0.633
C -8.035 -3.652 6.808
C -7.372 -7.316 4.048
C -10.117 -3.843 2.671
C -6.668 -0.831 3.393
C -3.924 -4.304 4.770
N -9.002 -3.926 3.049
N -7.246 -6.148 3.930
N -7.670 -3.804 5.696
N -6.371 -4.344 1.745
N -6.795 -1.999 3.511
N -5.039 -4.221 4.392
```

Results
ΔE_f (raw) (eV/atom): 0.0248



8.
## InSiRu2 (PBE-GGA)

Data for a relaxed InSiRu2 crystal.

```
4
Lattice="-1.441 1.240 -2.424 -3.128 -3.846 -0.108 -2.559 2.010 2.549" Properties=species:S:1:pos:R:3 pbc="T T T"
In -2.844 -0.918 1.221
Ru 0.000 0.000 0.000
Ru -2.284 -1.303 -1.266
Si -2.000 1.625 0.062
```

Results
ΔE_f (raw) (eV/atom): 0.2384



9.
## Ac2OsO6F (PBE-GGA)

Data for a relaxed Ac2OsO6F crystal.

```
10
Lattice="5.348 -0.594 -0.428 1.955 5.013 -0.428 1.955 1.183 4.890" Properties=species:S:1:pos:R:3 pbc="T T T"
Ac 2.658 1.608 1.158
Ac 6.600 3.994 2.876
Os 0.000 0.000 0.000
O 3.614 1.263 3.951
O 2.796 4.577 1.229
O 6.462 1.025 2.806
O 5.643 4.339 0.083
O 5.352 1.277 -0.054
O 3.906 4.325 4.089
F 4.629 2.801 2.017
```

Results
ΔE_f (raw) (eV/atom): -2.2666



10.
## Hg6TeAuI2 (PBE-GGA)

Data for a relaxed Hg6TeAuI2 crystal.

```
20
Lattice="7.733 0.000 0.042 0.000 7.833 0.000 0.132 0.000 11.205" Properties=species:S:1:pos:R:3 pbc="T T T"
Hg 2.283 5.358 0.354
Hg 6.216 6.391 5.977
Hg 5.582 2.475 10.894
Hg 1.649 1.442 5.270
Hg 2.536 5.539 5.183
Hg 6.469 6.211 10.807
Hg 5.329 2.294 6.064
Hg 1.396 1.622 0.440
Hg 7.334 4.052 2.734
Hg 3.534 7.697 8.315
Hg 0.531 3.781 8.514
Hg 4.331 0.136 2.932
Te 3.867 0.000 0.021
Te 0.066 3.917 5.602
Au 3.933 0.000 5.624
Au 0.000 3.917 0.000
I 0.070 7.735 2.800
I 4.002 4.015 8.424
I 7.796 0.098 8.447
I 3.863 3.818 2.824
```

Results
ΔE_f (raw) (eV/atom): -0.0869



11.
## CdFe2Si (PBE-GGA)

Data for a relaxed CdFe2Si crystal.

```
4
Lattice="-0.774 1.391 -3.971 -2.724 -2.129 -2.520 -3.802 1.708 -0.965" Properties=species:S:1:pos:R:3 pbc="T T T"
Cd -3.650 0.485 -3.728
Fe 0.000 0.000 0.000
Fe -1.825 0.242 -1.864
Si -5.475 0.727 -5.592
```

Results
ΔE_f (raw) (eV/atom): 0.3514
Polymorph energy (0 for the lowest one) (meV per atom): 362



12.
## Pa3AlNi5 (PBE-GGA)

Data for a relaxed Pa3AlNi5 crystal.

```
18
Lattice="5.571 0.000 0.000 0.000 7.980 0.000 0.000 -3.990 6.911" Properties=species:S:1:pos:R:3 pbc="T T T"
Pa 4.178 2.878 0.000
Pa 4.178 2.551 4.418
Pa 4.178 -1.439 2.492
Pa 1.393 5.102 0.000
Pa 1.393 1.439 2.492
Pa 1.393 -2.551 4.418
Al 0.000 0.000 0.000
Al 2.785 0.000 0.000
Ni 0.000 0.000 4.607
Ni 2.785 3.990 2.304
Ni 0.000 3.990 2.304
Ni 2.785 0.000 4.607
Ni 4.178 5.632 0.000
Ni 4.178 1.174 2.033
Ni 4.178 -2.816 4.878
Ni 1.393 2.348 0.000
Ni 1.393 2.816 4.878
Ni 1.393 -1.174 2.033
```

Results
Energy relative to the elements (eV per atom): -0.334



13.
## Ge3Pt2 (PBE-GGA)

Data for a relaxed Ge3Pt2 crystal.

```
10
Lattice="-2.707 -3.181 4.975 -2.426 -5.960 -0.890 3.001 -5.148 2.583" Properties=species:S:1:pos:R:3 pbc="T T T"
Ge 0.191 -8.612 1.710
Ge -0.778 -8.699 5.302
Ge 0.922 -5.697 3.905
Ge -1.355 -5.590 1.366
Ge -3.055 -8.591 2.763
Ge -2.324 -5.676 4.958
Pt -2.859 -10.155 4.675
Pt 1.209 -8.159 3.924
Pt 0.726 -4.134 1.993
Pt -3.341 -6.130 2.744
```

Results
Energy relative to the elements (eV per atom): -0.337



14.
## Y2NiBr (PBE-GGA)

Data for a relaxed Y2NiBr crystal.

```
4
Lattice="-3.361 -2.448 -2.848 -4.219 2.326 -1.480 -0.609 1.276 -4.837" Properties=species:S:1:pos:R:3 pbc="T T T"
Y -2.047 0.288 -2.291
Y -6.142 0.865 -6.874
Ni 0.000 0.000 0.000
Br -4.094 0.577 -4.583
```

Results
ΔE_f (raw) (eV/atom): -0.3309
Polymorph energy (0 for the lowest one) (meV per atom): 472



15.
## Ag2As3 (PBE-GGA)

Data for a relaxed Ag2As3 crystal.

```
10
Lattice="1.011 -9.676 -0.149 -0.589 -7.582 4.580 -3.363 -2.635 -3.326" Properties=species:S:1:pos:R:3 pbc="T T T"
Ag -0.357 -8.417 1.744
Ag -0.856 -11.288 -1.127
Ag -0.858 -14.294 2.500
Ag -2.836 -5.681 -1.181
As -2.711 -8.117 0.434
As -2.076 -11.977 1.193
As -2.007 -8.792 -2.128
As -0.298 -11.032 3.054
As -3.835 -10.204 1.222
As -0.618 -4.961 0.243
```

Results
Energy relative to the elements (eV per atom): 0.161



16.
## Li2ZnHg8 (PBE-GGA)

Data for a relaxed Li2ZnHg8 crystal.

```
11
Lattice="0.854 5.676 0.515 -1.470 -0.915 -7.482 -5.440 -1.469 5.218" Properties=species:S:1:pos:R:3 pbc="T T T"
Li -2.264 1.709 -3.458
Li -3.870 1.484 1.680
Zn 0.028 1.302 0.065
Hg -0.683 3.369 -1.801
Hg -1.669 3.231 1.354
Hg -2.353 0.178 -0.728
Hg -3.827 4.073 3.397
Hg -1.316 4.423 -4.634
Hg -3.961 2.677 -1.121
Hg -4.347 -0.125 -3.202
Hg -5.392 -0.271 0.140
```

Results
Energy relative to the elements (eV per atom): -0.094



17.
## IrRuPt2 (PBE-GGA)

Data for a relaxed IrRuPt2 crystal.

```
4
Lattice="-2.480 -3.416 -2.189 -0.079 -4.544 -1.400 -2.177 -1.968 3.811" Properties=species:S:1:pos:R:3 pbc="T T T"
Ir -3.552 -7.447 0.167
Pt -2.561 -7.957 -3.576
Pt -2.365 -4.968 0.098
Ru -1.184 -2.482 0.056
```

Results
Energy relative to the elements (eV per atom): 0.065
Polymorph energy (0 for the lowest one) (meV per atom): 108



18.
## LiSbAs (PBE-GGA)

Data for a relaxed LiSbAs crystal.

```
3
Lattice="3.819 0.000 0.000 -1.910 3.308 0.000 0.000 0.000 5.533" Properties=species:S:1:pos:R:3 pbc="T T T"
As 0.000 0.000 5.520
Li 0.000 2.205 1.677
Sb 1.910 1.103 3.869
```

Results
ΔE_f (raw) (eV/atom): -0.1401



19.
## Mg3Zn8Cu3 (PBE-GGA)

Data for a relaxed Mg3Zn8Cu3 crystal.

```
14
Lattice="0.226 -4.058 -1.293 6.083 -0.493 -4.423 4.855 -3.444 4.623" Properties=species:S:1:pos:R:3 pbc="T T T"
Mg 5.582 -3.997 -0.546
Mg 2.530 -4.032 -0.972
Mg 8.634 -3.963 -0.121
Zn 3.808 -4.845 1.804
Zn 7.356 -3.150 -2.897
Zn 4.500 -3.182 -3.295
Zn 6.664 -4.813 2.202
Zn 7.248 -5.617 -2.206
Zn 3.916 -2.378 1.113
Zn 6.921 -6.404 0.208
Zn 4.243 -1.591 -1.300
Cu 0.113 -2.029 -0.646
Cu 5.911 -0.907 -3.156
Cu 5.027 -3.030 3.356
```

Results
Energy relative to the elements (eV per atom): -0.067



20.
## ZrCl4O2 (PBE-GGA)

Data for a relaxed ZrCl4O2 crystal.

```
7
Lattice="-2.096 -3.002 -1.059 7.889 -2.591 -2.726 1.314 -1.275 6.625" Properties=species:S:1:pos:R:3 pbc="T T T"
Zr 0.000 0.000 0.000
Cl 4.241 -5.123 -2.037
Cl 2.867 -1.745 4.878
Cl 7.250 -4.355 2.292
Cl -0.143 -2.514 0.548
O 3.448 -2.860 1.222
O 3.659 -4.008 1.618
```

Results
ΔE_f (raw) (eV/atom): -1.2086